The following is a GGA-PBEsol calculation of NiHO2 after structural relaxation, from the Alexandria database.

- crystal system = trigonal
- electronic total energy (eV per atom) = -5.79
- D(E_F) (states/eV per atom) = 0.35
- space-group type = No. 156

The structure in CIF format:
```
data_NiHO2
_chemical_formula_sum 'Ni1 H1 O2'
_space_group_name_H-M_alt 'P 1'
_space_group_IT_number 1
_cell_length_a 2.9062
_cell_length_b 2.9062
_cell_length_c 4.3516
_cell_angle_alpha 90.00
_cell_angle_beta 90.00
_cell_angle_gamma 120.00
loop_
_space_group_symop_operation_xyz
'x,y,z'
loop_
_atom_site_label
_atom_site_type_symbol
_atom_site_fract_x
_atom_site_fract_y
_atom_site_fract_z
Ni1 Ni 0.0000 0.0000 0.0000
H1 H 0.6667 0.3333 0.5450
O1 O 0.3333 0.6667 0.2136
O2 O 0.6667 0.3333 0.7738
```